The following is a PBE+U calculation of CoSiNi2O4 after structural relaxation, from Alexandria.

Results
- ρ (Mg/m³) = 4.90
- calculated volume (Å³/cell) = 364
- final energy (eV/atom) = -5.713

Geometry as CIF:
```
data_CoSiNi2O4
_cell_length_a 6.045
_cell_length_b 6.399
_cell_length_c 9.412
_cell_angle_alpha 90.00
_cell_angle_beta 90.00
_cell_angle_gamma 90.00
_symmetry_space_group_name_H-M 'F m m 2'
_symmetry_Int_Tables_number 42
_symmetry_space_group_name_Hall 'F 2 -2'
loop_
_atom_site_label
_atom_site_type_symbol
_atom_site_fract_x
_atom_site_fract_y
_atom_site_fract_z
Co1 Co 0.000 0.000 0.000
Si1 Si 0.000 0.000 0.530
Ni1 Ni 0.250 0.250 0.278
O1 O 0.000 0.207 0.425
O2 O 0.229 0.000 0.627
```